Computed, not measured: Na3NpV2O6 after structural relaxation at the PBE with a Hubbard U level of DFT.

Properties
* E: -86.817 eV per formula unit

Lattice parameters (Å, degrees): 5.572 5.572 5.813 99.06 99.06 120.03
Site moments in Bohr magnetons follow the coordinates.
Element x y z (fractional)
O1 0.734 0.734 0.211  -0.05
O2 0.595 0.931 0.790  -0.05
O3 0.266 0.266 0.789  -0.05
O4 0.405 0.069 0.210  -0.05
O5 0.069 0.405 0.210  -0.05
O6 0.931 0.595 0.790  -0.05
Na1 0.175 0.825 0.500  0.00
Na2 0.500 0.500 0.500  0.00
Na3 0.825 0.175 0.500  0.00
V1 0.666 0.334 0.000  2.52
V2 0.334 0.666 0.000  2.52
Np1 0.000 0.000 0.000  2.71